LiIn5S8 | PBE | optimized geometry

Properties
formation energy from raw total energies = -0.662 eV/atom
volume = 23.16 Å³ per atom
raw total energy = -0.304 Ry/atom

Cell lengths 10.9061, 10.9061, 10.9061 Å; angles 90.00, 90.00, 90.00 degrees
Space group F-43m (No. 216)
Symmetry-distinct sites (fractional):
Li  0.0000  0.0000  0.0000 (multiplicity 4)
In  0.1317  0.1317  0.6317 (multiplicity 16)
In  0.2500  0.2500  0.2500 (multiplicity 4)
S  0.1157  0.1157  0.3843 (multiplicity 16)
S  0.1302  0.1302  0.8698 (multiplicity 16)